! MnRu2Au PBE-GGA relaxed; values from VASP
&SYSTEM
  ibrav = 0, nat = 4, ntyp = 3
/
ATOMIC_SPECIES
Mn 54.94 Mn.upf
Ru 101.07 Ru.upf
Au 196.97 Au.upf
ATOMIC_POSITIONS angstrom
Mn -1.090 1.424 -2.092
Ru -4.477 -0.099 -1.303
Ru -3.486 4.182 -6.237
Au -2.158 2.816 -4.139
CELL_PARAMETERS angstrom
-0.213 3.938 -2.620
0.343 1.794 -4.368
-4.563 -0.110 -1.316
! Calculated volume (Å³/atom): 14.9
! Space-group type: No. 8
! DOS at the Fermi energy (states/eV per cell): 3.6
! Energy above the most stable polymorph in this dataset (eV per atom): 0.0733